# 1
{"formula": "Y2ZnCuSe", "functional": "SCAN", "state": "single point on PBEsol structure", "lattice_angstrom": [[5.315, 0.000, 0.000], [0.000, 5.315, 0.000], [0.000, 0.000, 4.351]], "species": ["Y", "Y", "Zn", "Cu", "Se"], "fractional_positions": [[0.000, 0.500, 0.000], [0.500, 0.000, 0.000], [0.000, 0.000, 0.500], [0.500, 0.500, 0.500], [0.500, 0.500, 0.000]], "dos_ef_per_ev_atom": 0.67, "e_form_raw_ev_per_fu": -1.64, "m_tot_mub_per_cell": 0.000, "total_energy_ev_per_cell": -106.1}

***

# 2
{"formula": "Ba4NdIr3O12", "functional": "SCAN", "state": "single point on PBEsol structure", "lattice_angstrom": [[5.122, -2.944, 0.000], [5.122, 2.944, 0.000], [-4.019, 0.000, 9.918]], "species": ["Ba", "Ba", "Ba", "Ba", "Nd", "Ir", "Ir", "Ir", "O", "O", "O", "O", "O", "O", "O", "O", "O", "O", "O", "O"], "fractional_positions": [[0.128, 0.128, 0.387], [0.276, 0.276, 0.854], [0.724, 0.724, 0.146], [0.872, 0.872, 0.613], [0.000, 0.000, 0.000], [0.429, 0.429, 0.246], [0.500, 0.500, 0.500], [0.571, 0.571, 0.754], [0.148, 0.615, 0.366], [0.240, 0.240, 0.109], [0.248, 0.720, 0.148], [0.280, 0.752, 0.852], [0.373, 0.373, 0.606], [0.385, 0.852, 0.634], [0.615, 0.148, 0.366], [0.627, 0.627, 0.394], [0.720, 0.248, 0.148], [0.752, 0.280, 0.852], [0.760, 0.760, 0.891], [0.852, 0.385, 0.634]], "dos_ef_per_ev_atom": 0.42, "e_form_raw_ev_per_fu": -43.57, "m_tot_mub_per_cell": 2.062, "total_energy_ev_per_cell": -533.4}

***

# 3
{"formula": "HfFeSe2", "functional": "SCAN", "state": "single point on PBEsol structure", "lattice_angstrom": [[1.750, 1.011, 8.048], [-1.750, 1.011, 8.048], [0.000, -2.021, 8.048]], "species": ["Hf", "Fe", "Se", "Se"], "fractional_positions": [[0.000, 0.000, 0.000], [0.500, 0.500, 0.500], [0.404, 0.404, 0.404], [0.596, 0.596, 0.596]], "dos_ef_per_ev_atom": 0.67, "e_form_raw_ev_per_fu": -2.00, "m_tot_mub_per_cell": 3.205, "total_energy_ev_per_cell": -123.0}

***

What did the first record say?
{"formula": "Y2ZnCuSe", "functional": "SCAN", "state": "single point on PBEsol structure", "lattice_angstrom": [[5.315, 0.000, 0.000], [0.000, 5.315, 0.000], [0.000, 0.000, 4.351]], "species": ["Y", "Y", "Zn", "Cu", "Se"], "fractional_positions": [[0.000, 0.500, 0.000], [0.500, 0.000, 0.000], [0.000, 0.000, 0.500], [0.500, 0.500, 0.500], [0.500, 0.500, 0.000]], "dos_ef_per_ev_atom": 0.67, "e_form_raw_ev_per_fu": -1.64, "m_tot_mub_per_cell": 0.000, "total_energy_ev_per_cell": -106.1}

***

Repeat the second record exactly.
{"formula": "Ba4NdIr3O12", "functional": "SCAN", "state": "single point on PBEsol structure", "lattice_angstrom": [[5.122, -2.944, 0.000], [5.122, 2.944, 0.000], [-4.019, 0.000, 9.918]], "species": ["Ba", "Ba", "Ba", "Ba", "Nd", "Ir", "Ir", "Ir", "O", "O", "O", "O", "O", "O", "O", "O", "O", "O", "O", "O"], "fractional_positions": [[0.128, 0.128, 0.387], [0.276, 0.276, 0.854], [0.724, 0.724, 0.146], [0.872, 0.872, 0.613], [0.000, 0.000, 0.000], [0.429, 0.429, 0.246], [0.500, 0.500, 0.500], [0.571, 0.571, 0.754], [0.148, 0.615, 0.366], [0.240, 0.240, 0.109], [0.248, 0.720, 0.148], [0.280, 0.752, 0.852], [0.373, 0.373, 0.606], [0.385, 0.852, 0.634], [0.615, 0.148, 0.366], [0.627, 0.627, 0.394], [0.720, 0.248, 0.148], [0.752, 0.280, 0.852], [0.760, 0.760, 0.891], [0.852, 0.385, 0.634]], "dos_ef_per_ev_atom": 0.42, "e_form_raw_ev_per_fu": -43.57, "m_tot_mub_per_cell": 2.062, "total_energy_ev_per_cell": -533.4}